#a
Material: Ta4Mn
Method: DFT, PBE
State: relaxed

The magnetization is 0.00 μB/f.u.

Cell: 5.0201 5.0201 5.0201 Å, 109.47 109.47 109.47°
With the nearest neighbours (Å) after each atom.
Atoms (fractional coordinates):
Ta 0.5000 0.0000 0.0000  2 Mn 2.51
Ta 0.5000 0.5000 0.5000  2 Mn 2.51
Ta 0.0000 0.5000 0.0000  2 Mn 2.51
Ta 0.0000 0.0000 0.5000  2 Mn 2.51
Mn 0.0000 0.0000 0.0000  8 Ta 2.51



#b
Material: Ta4Mn
Method: DFT, PBE
State: relaxed

The magnetization is 0.00 μB/f.u.

Cell: 4.5718 4.5718 4.5718 Å, 90.00 90.00 90.00°
With the nearest neighbours (Å) after each atom.
Atoms (fractional coordinates):
Mn 0.5000 0.5000 0.5000  6 Ta 2.29
Ta 0.0000 0.0000 0.0000  12 Ta 3.23
Ta 0.5000 0.0000 0.5000  2 Mn 2.29
Ta 0.0000 0.5000 0.5000  2 Mn 2.29
Ta 0.5000 0.5000 0.0000  2 Mn 2.29



#c
Material: Ta4Mn
Method: DFT, PBE
State: relaxed

The magnetization is 3.36 μB/f.u.

Cell: 7.2282 7.2282 7.2282 Å, 149.00 149.00 44.41°
With the nearest neighbours (Å) after each atom.
Atoms (fractional coordinates):
Ta 0.7500 0.2500 0.5000  8 Ta 2.73-2.83
Ta 0.5955 0.5955 0.0000  5 Ta 2.56-2.83
Ta 0.4045 0.4045 0.0000  5 Ta 2.56-2.83
Ta 0.2500 0.7500 0.5000  8 Ta 2.73-2.83
Mn 0.0000 0.0000 0.0000  8 Ta 3.02



#d
Material: Ta4Mn
Method: DFT, PBE
State: relaxed

The magnetization is 0.00 μB/f.u.

Cell: 3.1514 5.3983 5.3983 Å, 94.89 106.97 73.03°
With the nearest neighbours (Å) after each atom.
Atoms (fractional coordinates):
Mn 0.0000 0.0000 0.0000  8 Ta 2.70
Ta 0.2135 0.1958 0.6227  2 Mn 2.70, 6 Ta 2.86-2.87
Ta 0.5908 0.6227 0.8042  2 Mn 2.70, 6 Ta 2.86-2.87
Ta 0.7865 0.8042 0.3773  2 Mn 2.70, 6 Ta 2.86-2.87
Ta 0.4092 0.3773 0.1958  2 Mn 2.70, 6 Ta 2.86-2.87



Which of them is most stable? Easy: #d.



#a
Material: Ta5Mn3
Method: DFT, PBE
State: relaxed

The magnetization is 0.00 μB/f.u.

Cell: 5.4319 5.4319 4.4141 Å, 90.00 90.00 70.61°
With the nearest neighbours (Å) after each atom.
Atoms (fractional coordinates):
Mn 0.5000 0.5000 0.0000  8 Ta 2.67-2.72
Mn 0.2500 0.2500 0.5000  8 Ta 2.68-2.75
Mn 0.7500 0.7500 0.5000  8 Ta 2.68-2.75
Ta 0.0000 0.0000 0.0000  8 Ta 2.72-2.74
Ta 0.0000 0.5000 0.0000  6 Mn 2.71-2.72, 2 Ta 2.72
Ta 0.5000 0.0000 0.0000  6 Mn 2.71-2.72, 2 Ta 2.72
Ta 0.7402 0.2598 0.5000  6 Mn 2.67-2.75, 2 Ta 2.74
Ta 0.2598 0.7402 0.5000  6 Mn 2.67-2.75, 2 Ta 2.74



#b
Material: Ta5Mn3
Method: DFT, PBE
State: relaxed

The magnetization is 0.00 μB/f.u.

Cell: 7.4023 7.4023 5.2720 Å, 90.00 90.00 60.00°
With the nearest neighbours (Å) after each atom.
Atoms (fractional coordinates):
Mn 0.5986 0.4014 0.7500  7 Ta 2.59-2.67
Mn 0.4014 0.5986 0.2500  7 Ta 2.59-2.67
Mn 0.4014 0.0000 0.7500  7 Ta 2.59-2.67
Mn 0.0000 0.4014 0.2500  7 Ta 2.59-2.67
Mn 0.5986 0.0000 0.2500  7 Ta 2.59-2.67
Mn 0.0000 0.5986 0.7500  7 Ta 2.59-2.67
Ta 0.7618 0.2382 0.2500  3 Mn 2.59-2.67
Ta 0.2382 0.7618 0.7500  3 Mn 2.59-2.67
Ta 0.2382 0.0000 0.2500  3 Mn 2.59-2.67
Ta 0.0000 0.2382 0.7500  3 Mn 2.59-2.67
Ta 0.6667 0.6667 0.0000  6 Mn 2.61, 2 Ta 2.64
Ta 0.6667 0.6667 0.5000  6 Mn 2.61, 2 Ta 2.64
Ta 0.3333 0.3333 0.0000  6 Mn 2.61, 2 Ta 2.64
Ta 0.3333 0.3333 0.5000  6 Mn 2.61, 2 Ta 2.64
Ta 0.7618 0.0000 0.7500  3 Mn 2.59-2.67
Ta 0.0000 0.7618 0.2500  3 Mn 2.59-2.67



#c
Material: Ta5Mn3
Method: DFT, PBE
State: relaxed

The magnetization is 0.84 μB/f.u.

Cell: 5.0864 7.4612 7.4609 Å, 96.68 109.94 70.06°
With the nearest neighbours (Å) after each atom.
Atoms (fractional coordinates):
Mn 0.2507 0.0001 0.0006  2 Mn 2.54, 8 Ta 2.63-2.64
Mn 0.7506 0.9999 0.0003  2 Mn 2.54, 8 Ta 2.63-2.64
Mn 0.6747 0.4998 0.8494  6 Ta 2.53-2.76
Mn 0.3262 0.5002 0.1514  6 Ta 2.53-2.76
Mn 0.8262 0.8490 0.5002  6 Ta 2.53-2.76
Mn 0.1748 0.1510 0.5006  6 Ta 2.53-2.76
Ta 0.7503 0.4998 0.5002  2 Ta 2.54, 4 Mn 2.76
Ta 0.2504 0.5002 0.5006  2 Ta 2.54, 4 Mn 2.76
Ta 0.2207 0.8535 0.2949  4 Mn 2.54-2.67
Ta 0.7800 0.1465 0.7059  4 Mn 2.54-2.67
Ta 0.2800 0.2945 0.8539  4 Mn 2.54-2.67
Ta 0.7207 0.7055 0.1469  4 Mn 2.54-2.67
Ta 0.4263 0.8537 0.7061  4 Mn 2.53-2.68
Ta 0.5744 0.1463 0.2948  4 Mn 2.53-2.68
Ta 0.9262 0.2944 0.1467  4 Mn 2.53-2.68
Ta 0.0744 0.7056 0.8541  4 Mn 2.53-2.68



Which of them is most stable? Easy: #a.



#a
Material: Ta4Mn3
Method: DFT, PBE
State: relaxed

The magnetization is 0.74 μB/f.u.

Cell: 11.2691 11.2691 11.2691 Å, 164.23 164.23 22.38°
With the nearest neighbours (Å) after each atom.
Atoms (fractional coordinates):
Ta 0.8477 0.8477 0.0000  5 Mn 2.61-2.89, 4 Ta 2.86
Ta 0.5687 0.5687 0.0000  4 Mn 2.66, 4 Ta 2.86
Ta 0.4313 0.4313 0.0000  4 Mn 2.66, 4 Ta 2.86
Ta 0.1523 0.1523 0.0000  5 Mn 2.61-2.89, 4 Ta 2.86
Mn 0.0000 0.0000 0.0000  8 Ta 2.66
Mn 0.7171 0.7171 0.0000  5 Ta 2.61-2.89, 4 Mn 2.63
Mn 0.2829 0.2829 0.0000  5 Ta 2.61-2.89, 4 Mn 2.63



#b
Material: Ta4Mn3
Method: DFT, PBE
State: relaxed

The magnetization is 1.45 μB/f.u.

Cell: 4.8910 4.8910 5.1082 Å, 90.00 90.00 120.00°
With the nearest neighbours (Å) after each atom.
Atoms (fractional coordinates):
Ta 0.0000 0.0000 0.2484  2 Ta 2.54-2.57, 6 Mn 2.76
Ta 0.0000 0.0000 0.7516  2 Ta 2.54-2.57, 6 Mn 2.76
Ta 0.6667 0.3333 0.5000  9 Ta 2.82-3.10, 6 Mn 2.92
Ta 0.3333 0.6667 0.5000  9 Ta 2.82-3.10, 6 Mn 2.92
Mn 0.0000 0.5000 0.0000  4 Mn 2.45
Mn 0.5000 0.5000 0.0000  4 Mn 2.45
Mn 0.5000 0.0000 0.0000  4 Mn 2.45



Which of them is most stable? Easy: #b.



#a
Material: Ta5Mn
Method: DFT, PBE
State: relaxed

The magnetization is 0.00 μB/f.u.

Cell: 3.2244 4.6486 7.1957 Å, 108.85 90.00 90.00°
With the nearest neighbours (Å) after each atom.
Atoms (fractional coordinates):
Mn 0.0000 0.0000 0.0000  8 Ta 2.66-2.83
Ta 0.0000 0.6683 0.3366  8 Ta 2.80-2.89
Ta 0.0000 0.3317 0.6634  8 Ta 2.80-2.89
Ta 0.5000 0.5000 0.0000  4 Ta 2.80, 4 Mn 2.83
Ta 0.5000 0.1555 0.3109  2 Mn 2.66, 6 Ta 2.83-2.89
Ta 0.5000 0.8445 0.6891  2 Mn 2.66, 6 Ta 2.83-2.89



#b
Material: Ta5Mn
Method: DFT, PBE
State: relaxed

The magnetization is 3.47 μB/f.u.

Cell: 5.6010 5.6010 4.5183 Å, 90.00 90.00 120.00°
With the nearest neighbours (Å) after each atom.
Atoms (fractional coordinates):
Ta 0.0000 0.5000 0.5000  8 Ta 2.78-2.80
Ta 0.3333 0.6667 0.0000  6 Ta 2.78
Ta 0.5000 0.0000 0.5000  8 Ta 2.78-2.80
Ta 0.5000 0.5000 0.5000  8 Ta 2.78-2.80
Ta 0.6667 0.3333 0.0000  6 Ta 2.78
Mn 0.0000 0.0000 0.0000  18 Ta 3.23-3.60



Which of them is most stable? Easy: #a.



#a
Material: Ta2Mn3
Method: DFT, PBE
State: relaxed

The magnetization is 4.01 μB/f.u.

Cell: 4.2540 4.2540 5.0737 Å, 90.00 90.00 120.00°
With the nearest neighbours (Å) after each atom.
Atoms (fractional coordinates):
Ta 0.6667 0.3333 0.1921  8 Mn 2.51-2.64
Ta 0.3333 0.6667 0.8079  8 Mn 2.51-2.64
Mn 0.0000 0.0000 0.0000  6 Ta 2.64, 6 Mn 2.93
Mn 0.6667 0.3333 0.6865  5 Ta 2.51-2.57
Mn 0.3333 0.6667 0.3135  5 Ta 2.51-2.57



#b
Material: Ta2Mn3
Method: DFT, PBE
State: relaxed

The magnetization is 0.02 μB/f.u.

Cell: 7.7300 6.8492 5.0574 Å, 79.41 60.57 40.02°
With the nearest neighbours (Å) after each atom.
Atoms (fractional coordinates):
Ta 0.8213 0.2774 0.5098  8 Mn 2.60-2.87
Ta 0.3915 0.5098 0.2774  8 Mn 2.60-2.87
Ta 0.9726 0.4287 0.8585  8 Mn 2.60-2.87
Ta 0.7402 0.8585 0.4287  8 Mn 2.60-2.87
Mn 0.4112 0.8408 0.4441  2 Mn 2.22-2.25
Mn 0.3039 0.4441 0.8408  2 Mn 2.22-2.25
Mn 0.4092 0.8388 0.9461  2 Mn 2.22-2.25
Mn 0.8059 0.9461 0.8388  2 Mn 2.22-2.25
Mn 0.0721 0.9279 0.9279  4 Mn 2.22-2.25
Mn 0.3221 0.1779 0.1779  4 Mn 2.22-2.25



#c
Material: Ta2Mn3
Method: DFT, PBE
State: relaxed

The magnetization is 2.44 μB/f.u.

Cell: 9.9836 9.9836 9.9836 Å, 16.79 16.79 16.79°
With the nearest neighbours (Å) after each atom.
Atoms (fractional coordinates):
Ta 0.5995 0.5995 0.5995  6 Mn 2.60-2.67
Ta 0.4005 0.4005 0.4005  6 Mn 2.60-2.67
Mn 0.0000 0.0000 0.0000  6 Ta 2.60
Mn 0.8039 0.8039 0.8039  3 Mn 2.42, 3 Ta 2.67
Mn 0.1961 0.1961 0.1961  3 Mn 2.42, 3 Ta 2.67



Which of them is most stable? Easy: #b.



#a
Material: TaMn4
Method: DFT, PBE
State: relaxed

The magnetization is 0.47 μB/f.u.

Cell: 4.5048 4.5048 4.5048 Å, 99.46 99.46 132.16°
With the nearest neighbours (Å) after each atom.
Atoms (fractional coordinates):
Ta 0.0000 0.0000 0.0000  12 Mn 2.63-2.65
Mn 0.5843 0.1865 0.7708  5 Mn 2.38-2.49, 3 Ta 2.63-2.65
Mn 0.4157 0.8135 0.2292  5 Mn 2.38-2.49, 3 Ta 2.63-2.65
Mn 0.1865 0.4157 0.6021  5 Mn 2.38-2.49, 3 Ta 2.63-2.65
Mn 0.8135 0.5843 0.3979  5 Mn 2.38-2.49, 3 Ta 2.63-2.65



#b
Material: TaMn4
Method: DFT, PBE
State: relaxed

The magnetization is 12.53 μB/f.u.

Cell: 4.6437 4.6437 4.6437 Å, 90.00 90.00 90.00°
With the nearest neighbours (Å) after each atom.
Atoms (fractional coordinates):
Mn 0.0000 0.0000 0.0000  12 Mn 3.28
Mn 0.5000 0.0000 0.5000  2 Ta 2.32
Mn 0.0000 0.5000 0.5000  2 Ta 2.32
Mn 0.5000 0.5000 0.0000  2 Ta 2.32
Ta 0.5000 0.5000 0.5000  6 Mn 2.32



Which of them is most stable? Easy: #a.



#a
Material: TaMn2Tc2
Method: DFT, PBE
State: relaxed

The magnetization is 0.51 μB/f.u.

Cell: 7.0627 7.0627 2.7956 Å, 90.00 90.00 90.00°
With the nearest neighbours (Å) after each atom.
Atoms (fractional coordinates):
Mn 0.3709 0.8709 0.0000  6 Tc 2.46-2.54, 1 Mn 2.58
Mn 0.8709 0.6291 0.0000  6 Tc 2.46-2.54, 1 Mn 2.58
Mn 0.6291 0.1291 0.0000  6 Tc 2.46-2.54, 1 Mn 2.58
Mn 0.1291 0.3709 0.0000  6 Tc 2.46-2.54, 1 Mn 2.58
Tc 0.1681 0.6681 0.5000  6 Mn 2.46-2.54
Tc 0.6681 0.8319 0.5000  6 Mn 2.46-2.54
Tc 0.8319 0.3319 0.5000  6 Mn 2.46-2.54
Tc 0.3319 0.1681 0.5000  6 Mn 2.46-2.54
Ta 0.0000 0.0000 0.0000  4 Mn 2.77, 2 Ta 2.80, 8 Tc 2.98
Ta 0.5000 0.5000 0.0000  4 Mn 2.77, 2 Ta 2.80, 8 Tc 2.98



#b
Material: TaMn2Tc2
Method: DFT, PBE
State: relaxed

The magnetization is 0.00 μB/f.u.

Cell: 3.8812 3.8812 5.6109 Å, 69.77 69.77 90.00°
With the nearest neighbours (Å) after each atom.
Atoms (fractional coordinates):
Mn 0.3972 0.3972 0.2056  1 Mn 2.01
Mn 0.6028 0.6028 0.7944  1 Mn 2.01
Tc 0.7500 0.2500 0.5000  4 Mn 2.42
Tc 0.2500 0.7500 0.5000  4 Mn 2.42
Ta 0.0000 0.0000 0.0000  8 Mn 2.92, 8 Tc 3.12



Which of them is most stable? Easy: #a.



#a
Material: TaMn3Tc
Method: DFT, PBE
State: relaxed

The magnetization is 5.83 μB/f.u.

Cell: 4.4399 4.4399 4.4399 Å, 90.00 90.00 90.00°
With the nearest neighbours (Å) after each atom.
Atoms (fractional coordinates):
Mn 0.0000 0.5000 0.0000  2 Tc 2.22
Mn 0.0000 0.0000 0.5000  2 Tc 2.22
Mn 0.5000 0.0000 0.0000  2 Tc 2.22
Tc 0.0000 0.0000 0.0000  6 Mn 2.22
Ta 0.5000 0.5000 0.5000  12 Mn 3.14



#b
Material: TaMn3Tc
Method: DFT, PBE
State: relaxed

The magnetization is 3.51 μB/f.u.

Cell: 4.3957 4.3957 4.3957 Å, 90.00 90.00 90.00°
With the nearest neighbours (Å) after each atom.
Atoms (fractional coordinates):
Mn 0.0000 0.5000 0.0000  2 Ta 2.20
Mn 0.0000 0.0000 0.5000  2 Ta 2.20
Mn 0.5000 0.0000 0.0000  2 Ta 2.20
Tc 0.5000 0.5000 0.5000  12 Mn 3.11
Ta 0.0000 0.0000 0.0000  6 Mn 2.20



Which of them is most stable? Easy: #a.